This record from Alexandria via LeMat-Bulk describes an optimized crystal structure of NiAg2IF. The functional is PBE+U.

The space group is P4/mmm (No. 123) and the conventional cell measures 5.3942, 5.3942 and 4.5521 Å, with angles of 90.00, 90.00 and 90.00 degrees. The inequivalent atoms are Ni at (0.0000, 0.0000, 0.0000), Ag at (0.0000, 0.5000, 0.5000), I at (0.0000, 0.0000, 0.5000) and F at (0.5000, 0.5000, 0.0000).

The calculation puts the total magnetization at 0.00 Bohr magnetons per cell. The total energy is -1.818 eV/atom.